1.
This record from Alexandria describes Li3Ce2Pb4 after structural relaxation. The functional is GGA-PBE.

Geometry as POSCAR:
```
Li3Ce2Pb4
1.0
-0.806 -3.660 -2.792
3.691 -1.443 -3.089
5.619 -6.870 7.391
Ce Li Pb
2 3 4
Direct
0.324 0.351 0.770
0.676 0.649 0.230
0.000 0.000 0.000
0.647 0.706 0.552
0.353 0.294 0.448
0.672 0.655 0.912
0.971 0.058 0.630
0.029 0.942 0.370
0.328 0.345 0.088
```

Summary:
Its polymorph energy (0 for the lowest one) is 0.53 kcal/mol of atoms. Its space group is C2/m. Its formation energy is -2.74 eV/f.u. The density of states at the Fermi level comes out at 1.5270 states/eV per atom.

=====

2.
This record from Alexandria describes LiCePb2 after structural relaxation. The functional is GGA-PBE.

Geometry as POSCAR:
```
LiCePb2
1.0
4.524 0.000 0.000
0.000 4.882 0.000
0.000 0.000 4.882
Li Pb Ce
1 2 1
Direct
0.500 0.000 0.000
0.000 0.500 0.000
0.000 0.000 0.500
0.500 0.500 0.500
```

Summary:
Its space group is P4/mmm. Its formation energy is -1.50 eV/f.u. The density of states at the Fermi level comes out at 1.4554 states/eV per atom.

=====

3.
This record from Alexandria describes Li3CePb3 after structural relaxation. The functional is GGA-PBE.

Geometry as POSCAR:
```
Li3CePb3
1.0
-1.726 -6.650 5.510
4.463 -7.561 -0.689
4.944 -2.697 5.332
Li Pb Ce
6 6 2
Direct
0.786 0.112 0.663
0.561 0.214 0.337
0.214 0.888 0.337
0.888 0.561 0.337
0.439 0.786 0.663
0.112 0.439 0.663
0.751 0.371 0.817
0.062 0.751 0.817
0.629 0.938 0.183
0.249 0.629 0.183
0.371 0.062 0.817
0.938 0.249 0.183
0.667 0.667 0.000
0.333 0.333 0.000
```

Summary:
Its polymorph energy (0 for the lowest one) is 0.00 kcal/mol of atoms. Its space group is R-3. Its formation energy is -0.79 eV/f.u. The density of states at the Fermi level comes out at 1.2879 states/eV per atom.

=====

4.
This record from Alexandria describes LiCe5Pb6 after structural relaxation. The functional is GGA-PBE.

Geometry as POSCAR:
```
LiCe5Pb6
1.0
-4.871 0.956 0.389
-6.653 -7.967 0.029
-2.800 -4.396 7.622
Pb Ce Li
6 5 1
Direct
0.739 0.761 0.000
0.754 0.080 0.331
0.246 0.588 0.331
0.246 0.920 0.669
0.754 0.412 0.669
0.261 0.239 0.000
0.500 0.839 0.321
0.000 0.338 0.325
0.000 0.662 0.675
0.500 0.500 0.000
0.500 0.161 0.679
0.000 0.000 0.000
```

Summary:
Its space group is Immm. Its formation energy is -4.51 eV/f.u. The density of states at the Fermi level comes out at 2.7579 states/eV per atom.

=====

5.
This record from Alexandria describes Li2Ce3Pb4 after structural relaxation. The functional is GGA-PBE.

Geometry as POSCAR:
```
Li2Ce3Pb4
1.0
-3.136 -2.449 -2.620
5.197 -3.487 1.371
-5.627 -0.527 7.226
Pb Ce Li
4 3 2
Direct
0.920 0.840 0.613
0.080 0.160 0.387
0.297 0.594 0.921
0.703 0.406 0.079
0.000 0.000 0.000
0.372 0.743 0.311
0.628 0.257 0.689
0.312 0.623 0.631
0.688 0.377 0.369
```

Summary:
Its space group is C2/m. Its formation energy is -3.28 eV/f.u. The density of states at the Fermi level comes out at 2.4676 states/eV per atom.

=====

6.
This record from Alexandria describes Li6CePb4 after structural relaxation. The functional is GGA-PBE.

Geometry as POSCAR:
```
Li6CePb4
1.0
-1.724 -4.235 0.729
4.280 -0.618 6.528
-7.227 2.998 0.325
Li Ce Pb
6 1 4
Direct
0.500 0.216 0.784
0.000 0.538 0.462
0.500 0.568 0.784
0.000 0.925 0.462
0.500 0.216 0.432
0.000 0.538 0.075
0.000 0.000 0.000
0.500 0.380 0.190
0.500 0.810 0.620
0.500 0.810 0.190
0.000 0.333 0.667
```

Summary:
Its space group is P-6m2. Its formation energy is -2.66 eV/f.u. The density of states at the Fermi level comes out at 1.0019 states/eV per atom.